Here is a geometry-optimized V4SiTc5 structure from the Alexandria database. Energies are from PBE.

Output
- mass density (g/cm3) = 8.7
- raw formation energy (meV/atom) = -402

Cell lengths 3.0244, 3.0244, 14.9786 Å; angles 90.00, 90.00, 90.00 degrees
Space group P4/mmm (No. 123)
One atom of each set of equivalent atoms:
V (0.0000, 0.0000, 0.1018) x2
V (0.0000, 0.0000, 0.3041) x2
Si (0.0000, 0.0000, 0.5000) x1
Tc (0.5000, 0.5000, 0.0000) x1
Tc (0.5000, 0.5000, 0.2017) x2
Tc (0.5000, 0.5000, 0.4025) x2

***

Here is a geometry-optimized V3SiTc4 structure from the Alexandria database. Energies are from PBE.

Output
- mass density (g/cm3) = 8.7
- raw formation energy (meV/atom) = -408

Cell lengths 3.0251, 3.0251, 11.9485 Å; angles 90.00, 90.00, 90.00 degrees
Space group P4/mmm (No. 123)
One atom of each set of equivalent atoms:
V (0.0000, 0.0000, 0.0000) x1
V (0.0000, 0.0000, 0.2549) x2
Si (0.0000, 0.0000, 0.5000) x1
Tc (0.5000, 0.5000, 0.1262) x2
Tc (0.5000, 0.5000, 0.3779) x2